No. 1
The following is a GGA-PBE calculation of an optimized crystal structure of Ho5Zn4Cd, from OQMD via LeMat-Bulk.

The structure in CIF format:
```
data_Ho5Zn4Cd
_cell_length_a 3.555
_cell_length_b 3.555
_cell_length_c 18.142
_cell_angle_alpha 90.00
_cell_angle_beta 90.00
_cell_angle_gamma 90.00
_symmetry_space_group_name_H-M 'P 4/m m m'
_symmetry_Int_Tables_number 123
_symmetry_space_group_name_Hall '-P 4 2'
loop_
_atom_site_label
_atom_site_fract_x
_atom_site_fract_y
_atom_site_fract_z
Ho1 0.000 0.000 0.000
Ho2 0.000 0.000 0.194
Ho3 0.000 0.000 0.387
Zn1 0.500 0.500 0.097
Zn2 0.500 0.500 0.292
Cd1 0.500 0.500 0.500
```

Results
For the formation energy from the elements, the calculation gives -3.45 eV/f.u. For the magnetization, the calculation gives 0.5 μB/cell. The value obtained for the volume is 229.26 Å³/f.u.


No. 2
The following is a GGA-PBE calculation of an optimized crystal structure of RbZnCo, from OQMD via LeMat-Bulk.

The structure in CIF format:
```
data_RbZnCo
_cell_length_a 7.873
_cell_length_b 7.873
_cell_length_c 7.873
_cell_angle_alpha 90.00
_cell_angle_beta 90.00
_cell_angle_gamma 90.00
_symmetry_space_group_name_H-M 'F -4 3 m'
_symmetry_Int_Tables_number 216
_symmetry_space_group_name_Hall 'F -4 2 3'
loop_
_atom_site_label
_atom_site_fract_x
_atom_site_fract_y
_atom_site_fract_z
Rb1 0.000 0.000 0.000
Zn1 0.250 0.250 0.250
Co1 0.250 0.250 0.750
```

Results
The value obtained for the energy above the lowest structure with this stoichiometry is 358.2 meV per atom. For the magnetization, the calculation gives 8.1 μB/cell. The value obtained for the volume is 121.99 Å³/f.u.


No. 3
The following is a GGA-PBE calculation of an optimized crystal structure of Na2AgMoH6, from OQMD via LeMat-Bulk.

The structure in CIF format:
```
data_Na2AgMoH6
_cell_length_a 5.1532
_cell_length_b 5.1532
_cell_length_c 13.8128
_cell_angle_alpha 90.00
_cell_angle_beta 90.00
_cell_angle_gamma 120.00
_symmetry_space_group_name_H-M 'R -3'
_symmetry_Int_Tables_number 148
_symmetry_space_group_name_Hall '-R 3'
loop_
_atom_site_label
_atom_site_fract_x
_atom_site_fract_y
_atom_site_fract_z
Na1 0.0000 0.0000 0.2454
Ag1 0.0000 0.0000 0.5000
Mo1 0.0000 0.0000 0.0000
H1 0.0132 0.4454 0.7481
```

Results
For the magnetization, the calculation gives 9.0 μB/cell. The value obtained for the volume is 105.89 Å³/f.u.


No. 4
The following is a GGA-PBE calculation of an optimized crystal structure of TePd16, from OQMD via LeMat-Bulk.

The structure in CIF format:
```
data_TePd16
_cell_length_a 11.277
_cell_length_b 2.834
_cell_length_c 27.179
_cell_angle_alpha 90.00
_cell_angle_beta 90.39
_cell_angle_gamma 90.00
_symmetry_space_group_name_H-M 'P 1 21/m 1'
_symmetry_Int_Tables_number 11
_symmetry_space_group_name_Hall '-P 2yb'
loop_
_atom_site_label
_atom_site_fract_x
_atom_site_fract_y
_atom_site_fract_z
Te1 0.111 0.250 0.213
Pd1 0.013 0.750 0.544
Pd2 0.041 0.250 0.632
Pd3 0.072 0.750 0.724
Pd4 0.137 0.750 0.300
Pd5 0.165 0.250 0.387
Pd6 0.192 0.750 0.476
Pd7 0.219 0.250 0.563
Pd8 0.244 0.750 0.651
Pd9 0.276 0.250 0.739
Pd10 0.316 0.750 0.228
Pd11 0.345 0.250 0.318
Pd12 0.370 0.750 0.405
Pd13 0.397 0.250 0.492
Pd14 0.424 0.750 0.579
Pd15 0.450 0.250 0.666
Pd16 0.479 0.750 0.753
```

Results
The value obtained for the energy above the lowest structure with this stoichiometry is 77.4 meV per atom. The value obtained for the volume is 434.38 Å³/f.u.


No. 5
The following is a GGA-PBE calculation of an optimized crystal structure of Sr3ErN3, from OQMD via LeMat-Bulk.

The structure in CIF format:
```
data_Sr3ErN3
_cell_length_a 8.0424
_cell_length_b 8.0424
_cell_length_c 5.3699
_cell_angle_alpha 90.00
_cell_angle_beta 90.00
_cell_angle_gamma 120.00
_symmetry_space_group_name_H-M 'P 63/m'
_symmetry_Int_Tables_number 176
_symmetry_space_group_name_Hall '-P 6c'
loop_
_atom_site_label
_atom_site_fract_x
_atom_site_fract_y
_atom_site_fract_z
Sr1 0.0681 0.3321 0.2500
Er1 0.3333 0.6667 0.7500
N1 0.0816 0.3746 0.7500
```

Results
For the magnetization, the calculation gives 0.0 μB/cell. The value obtained for the volume is 150.40 Å³/f.u.


No. 6
The following is a GGA-PBE calculation of an optimized crystal structure of DyTm2S3, from OQMD via LeMat-Bulk.

The structure in CIF format:
```
data_DyTm2S3
_cell_length_a 3.8548
_cell_length_b 3.8548
_cell_length_c 9.4576
_cell_angle_alpha 90.00
_cell_angle_beta 90.00
_cell_angle_gamma 120.00
_symmetry_space_group_name_H-M 'P -3 m 1'
_symmetry_Int_Tables_number 164
_symmetry_space_group_name_Hall '-P 3 2"'
loop_
_atom_site_label
_atom_site_fract_x
_atom_site_fract_y
_atom_site_fract_z
Dy1 0.0000 0.0000 0.0000
Tm1 0.3333 0.6667 0.6660
S1 0.0000 0.0000 0.5000
S2 0.3333 0.6667 0.1716
```

Results
For the magnetization, the calculation gives 0.0 μB/cell. The value obtained for the volume is 121.71 Å³/f.u.


No. 7
The following is a GGA-PBE calculation of an optimized crystal structure of RbTbFeTe3, from OQMD via LeMat-Bulk.

The structure in CIF format:
```
data_RbTbFeTe3
_cell_length_a 17.750
_cell_length_b 4.777
_cell_length_c 9.540
_cell_angle_alpha 90.00
_cell_angle_beta 92.21
_cell_angle_gamma 90.00
_symmetry_space_group_name_H-M 'C 1 2/m 1'
_symmetry_Int_Tables_number 12
_symmetry_space_group_name_Hall '-C 2y'
loop_
_atom_site_label
_atom_site_fract_x
_atom_site_fract_y
_atom_site_fract_z
Rb1 0.144 0.000 0.088
Tb1 0.162 0.000 0.586
Fe1 0.006 0.500 0.378
Te1 0.000 0.000 0.500
Te2 0.000 0.500 0.000
Te3 0.127 0.500 0.787
Te4 0.168 0.500 0.367
```

Results
The value obtained for the energy above the lowest structure with this stoichiometry is 195.9 meV per atom. For the magnetization, the calculation gives 12.0 μB/cell. The value obtained for the volume is 202.05 Å³/f.u.


No. 8
The following is a GGA-PBE calculation of an optimized crystal structure of MgZrGa, from OQMD via LeMat-Bulk.

The structure in CIF format:
```
data_MgZrGa
_cell_length_a 6.582
_cell_length_b 6.582
_cell_length_c 6.582
_cell_angle_alpha 90.00
_cell_angle_beta 90.00
_cell_angle_gamma 90.00
_symmetry_space_group_name_H-M 'F -4 3 m'
_symmetry_Int_Tables_number 216
_symmetry_space_group_name_Hall 'F -4 2 3'
loop_
_atom_site_label
_atom_site_fract_x
_atom_site_fract_y
_atom_site_fract_z
Mg1 0.000 0.000 0.000
Zr1 0.250 0.250 0.750
Ga1 0.000 0.000 0.500
```

Results
For the magnetization, the calculation gives 0.0 μB/cell. The value obtained for the volume is 71.27 Å³/f.u.


For reference, DFT total energy by record: -3.229 -1.659 -3.526 -4.983 -5.538 -6.273 -4.579 -4.032 eV/atom.